Material: Y5Mg
Method: DFT, PBE-GGA
State: optimized geometry

Results
- raw total energy (eV per atom) = -5.637
- formation energy (kcal/mol of atoms) = 0.4
- density (g cm⁻³) = 4.2
- offset from the most stable computed form (meV/atom) = 32.3

a b c (Å): 7.9698 7.9698 4.9527
angles (deg): 90.00 90.00 143.86
Last column: nearest neighbours and their distance in Å.
Sites, in units of the cell vectors:
Mg1 0.9722 0.0278 0.0000  12 Y 3.50-3.56
Y1 0.8039 0.1961 0.5000  10 Y 3.50-3.55, 2 Mg 3.56
Y2 0.6368 0.3632 0.0000  10 Y 3.50-3.58, 2 Mg 3.51
Y3 0.4722 0.5278 0.5000  4 Mg 3.50, 8 Y 3.51-3.55
Y4 0.3077 0.6923 0.0000  10 Y 3.50-3.58, 2 Mg 3.51
Y5 0.1405 0.8595 0.5000  10 Y 3.50-3.55, 2 Mg 3.56

Material: MgSc2As
Method: DFT, PBE-GGA
State: optimized geometry

Results
- raw total energy (eV per atom) = -5.078
- formation energy (kcal/mol of atoms) = -8.1
- density (g cm⁻³) = 3.5

a b c (Å): 3.3842 3.3842 7.9104
angles (deg): 90.00 90.00 99.91
Last column: nearest neighbours and their distance in Å.
Sites, in units of the cell vectors:
As1 0.0000 0.0000 0.4924  2 Sc 2.67, 2 Mg 2.76
Mg1 0.5000 0.5000 0.7066  2 As 2.76
Sc1 0.0000 0.0000 0.0030  8 Sc 3.19-3.49, 4 Mg 3.20-3.49
Sc2 0.5000 0.5000 0.2980  2 As 2.67

Material: PaZn2Pt
Method: DFT, PBE-GGA
State: optimized geometry

Results
- raw total energy (eV per atom) = -4.840
- formation energy (kcal/mol of atoms) = -7.3
- density (g cm⁻³) = 12.9
- offset from the most stable computed form (meV/atom) = 205.0

a b c (Å): 4.6660 4.6660 4.6660
angles (deg): 60.00 60.00 60.00
Last column: nearest neighbours and their distance in Å.
Sites, in units of the cell vectors:
Zn1 0.2500 0.2500 0.2500  4 Pt 2.86, 4 Pa 2.86
Zn2 0.7500 0.7500 0.7500  4 Pa 2.86, 4 Pt 2.86
Pa1 0.0000 0.0000 0.0000  8 Zn 2.86
Pt1 0.5000 0.5000 0.5000  8 Zn 2.86

Material: SrLi2C2O6
Method: DFT, PBE-GGA
State: optimized geometry

Results
- raw total energy (eV per atom) = -6.889
- density (g cm⁻³) = 2.5
- formation energy from raw total energies (meV per atom) = -2007

a b c (Å): 5.1198 5.1198 6.4410
angles (deg): 90.00 90.00 120.00
Last column: nearest neighbours and their distance in Å.
Sites, in units of the cell vectors:
Sr1 0.0000 0.0000 0.0000  6 O 2.56
Li1 0.3333 0.6667 0.3163  3 O 1.91
Li2 0.6667 0.3333 0.6837  3 O 1.91
C1 0.3333 0.6667 0.7634  3 O 1.30
C2 0.6667 0.3333 0.2366  3 O 1.30
O1 0.3657 0.4306 0.7642  1 C 1.30
O2 0.0649 0.6343 0.7642  1 C 1.30
O3 0.5694 0.9351 0.7642  1 C 1.30
O4 0.6343 0.5694 0.2358  1 C 1.30
O5 0.9351 0.3657 0.2358  1 C 1.30
O6 0.4306 0.0649 0.2358  1 C 1.30